Computed, not measured: a relaxed Tb5Nd2DySc crystal at the GGA-PBE level of DFT.

Unit cell a=10.4381 b=10.4381 c=10.4043 alpha=90.00 beta=90.00 gamma=149.06
Positions (direct):
Tb: 0.0165 0.9835 0.5000
Tb: 0.1265 0.8735 0.7772
Tb: 0.2024 0.7976 0.4603
Tb: 0.2251 0.7749 0.0784
Tb: 0.4844 0.5156 0.7733
Tb: 0.5156 0.4844 0.2733
Tb: 0.7749 0.2251 0.5784
Tb: 0.7976 0.2024 0.9603
Tb: 0.8735 0.1265 0.2772
Tb: 0.9835 0.0165 0.0000
Nd: 0.3848 0.6152 0.4934
Nd: 0.3864 0.6136 0.0711
Nd: 0.6136 0.3864 0.5711
Nd: 0.6152 0.3848 0.9934
Dy: 0.0930 0.9070 0.2180
Dy: 0.9070 0.0930 0.7180
Sc: 0.3046 0.6954 0.7722
Sc: 0.6954 0.3046 0.2722

Results
- E_form (eV per atom) = 0.1526



Computed, not measured: a relaxed HfNb2BiTe crystal at the GGA-PBE level of DFT.

Unit cell a=5.1878 b=5.1878 c=5.6574 alpha=90.00 beta=90.00 gamma=90.00
Positions (direct):
Hf: 0.0000 0.0000 0.0000
Nb: 0.0000 0.5000 0.5000
Nb: 0.5000 0.0000 0.5000
Bi: 0.5000 0.5000 0.5000
Te: 0.5000 0.5000 0.0000

Results
- energy relative to the elements, uncorrected (kJ per mole of atoms) = 178.2



Computed, not measured: a relaxed TlGaSe2O8 crystal at the GGA-PBE level of DFT.

Unit cell a=5.0332 b=5.0332 c=8.5196 alpha=94.52 beta=94.52 gamma=65.52
Positions (direct):
Tl: 0.0000 0.0000 0.0000
Ga: 0.0000 0.0000 0.5000
Se: 0.3721 0.3721 0.6882
Se: 0.6279 0.6279 0.3118
O: 0.2334 0.2334 0.5339
O: 0.2411 0.7390 0.6723
O: 0.2610 0.7589 0.3277
O: 0.3115 0.3115 0.8657
O: 0.6885 0.6885 0.1343
O: 0.7390 0.2411 0.6723
O: 0.7589 0.2610 0.3277
O: 0.7666 0.7666 0.4661

Results
- offset from the most stable computed form (eV/atom) = 0.000
- energy relative to the elements, uncorrected (kJ per mole of atoms) = -88.3



Computed, not measured: a relaxed Ho6InGe2Te3 crystal at the GGA-PBE level of DFT.

Unit cell a=9.6569 b=9.6569 c=8.7153 alpha=104.63 beta=104.63 gamma=25.29
Positions (direct):
Ho: 0.0082 0.0082 0.2551
Ho: 0.3254 0.3254 0.4358
Ho: 0.3320 0.3320 0.8948
Ho: 0.6680 0.6680 0.1052
Ho: 0.6746 0.6746 0.5642
Ho: 0.9918 0.9918 0.7449
In: 0.5000 0.5000 0.0000
Ge: 0.1667 0.1667 0.3325
Ge: 0.8333 0.8333 0.6675
Te: 0.1648 0.1648 0.8305
Te: 0.5000 0.5000 0.5000
Te: 0.8352 0.8352 0.1695

Results
- energy relative to the elements, uncorrected (kJ per mole of atoms) = -98.9